[1]
Computed, not measured: a relaxed Sm3CuPd crystal at the PBE-GGA level of DFT.

CIF file:
```
data_Sm3CuPd
_cell_length_a 3.974
_cell_length_b 8.243
_cell_length_c 8.187
_cell_angle_alpha 85.37
_cell_angle_beta 90.00
_cell_angle_gamma 103.95
_symmetry_space_group_name_H-M 'P 1'
_symmetry_Int_Tables_number 1
_symmetry_space_group_name_Hall 'P 1'
loop_
_atom_site_label
_atom_site_type_symbol
_atom_site_fract_x
_atom_site_fract_y
_atom_site_fract_z
Sm1 Sm 0.080 0.193 0.397
Sm2 Sm 0.424 0.880 0.651
Sm3 Sm 0.620 0.274 0.771
Sm4 Sm 0.964 0.961 0.024
Sm5 Sm 0.250 0.533 0.031
Sm6 Sm 0.794 0.621 0.391
Cu1 Cu 0.237 0.508 0.649
Cu2 Cu 0.807 0.646 0.773
Pd1 Pd 0.432 0.897 0.287
Pd2 Pd 0.611 0.256 0.135
```

Output
Final energy in Ry per atom: -0.3710
ΔH_f (0 K) in meV per atom: -358
Total magnetization in μB/f.u.: 0.00


[2]
Computed, not measured: a relaxed Rb3PaCu2O6 crystal at the PBE-GGA level of DFT.

CIF file:
```
data_Rb3PaCu2O6
_cell_length_a 6.198
_cell_length_b 6.198
_cell_length_c 7.390
_cell_angle_alpha 90.00
_cell_angle_beta 90.00
_cell_angle_gamma 120.00
_symmetry_space_group_name_H-M 'P 1'
_symmetry_Int_Tables_number 1
_symmetry_space_group_name_Hall 'P 1'
loop_
_atom_site_label
_atom_site_type_symbol
_atom_site_fract_x
_atom_site_fract_y
_atom_site_fract_z
Rb1 Rb 0.333 0.667 0.732
Rb2 Rb 0.667 0.333 0.268
Rb3 Rb 0.000 0.000 0.000
Pa1 Pa 0.000 0.000 0.500
Cu1 Cu 0.667 0.333 0.697
Cu2 Cu 0.333 0.667 0.303
O1 O 0.679 0.840 0.317
O2 O 0.160 0.321 0.317
O3 O 0.160 0.840 0.317
O4 O 0.840 0.679 0.683
O5 O 0.321 0.160 0.683
O6 O 0.840 0.160 0.683
```

Output
Final energy in Ry per atom: -0.4385
ΔE_f (raw) in meV/atom: -1771
Total magnetization in μB/f.u.: 1.92


[3]
Computed, not measured: a relaxed RbGaO2 crystal at the PBE-GGA level of DFT.

CIF file:
```
data_RbGaO2
_cell_length_a 17.262
_cell_length_b 6.432
_cell_length_c 6.432
_cell_angle_alpha 90.00
_cell_angle_beta 117.56
_cell_angle_gamma 62.44
_symmetry_space_group_name_H-M 'P 1'
_symmetry_Int_Tables_number 1
_symmetry_space_group_name_Hall 'P 1'
loop_
_atom_site_label
_atom_site_type_symbol
_atom_site_fract_x
_atom_site_fract_y
_atom_site_fract_z
O1 O 0.084 0.645 0.733
O2 O 0.416 0.233 0.145
O3 O 0.916 0.355 0.267
O4 O 0.584 0.767 0.855
O5 O 0.749 0.323 0.299
O6 O 0.751 0.799 0.823
O7 O 0.251 0.677 0.701
O8 O 0.249 0.201 0.177
O9 O 0.408 0.743 0.136
O10 O 0.092 0.636 0.243
O11 O 0.592 0.257 0.864
O12 O 0.908 0.364 0.757
O13 O 0.750 0.323 0.823
O14 O 0.250 0.677 0.177
O15 O 0.750 0.800 0.300
O16 O 0.250 0.200 0.700
Ga1 Ga 0.334 0.581 0.043
Ga2 Ga 0.166 0.543 0.081
Ga3 Ga 0.666 0.419 0.957
Ga4 Ga 0.834 0.457 0.919
Ga5 Ga 0.332 0.090 0.042
Ga6 Ga 0.168 0.542 0.590
Ga7 Ga 0.668 0.910 0.958
Ga8 Ga 0.832 0.458 0.410
Rb1 Rb 0.116 0.105 0.273
Rb2 Rb 0.384 0.773 0.605
Rb3 Rb 0.884 0.895 0.727
Rb4 Rb 0.616 0.227 0.395
Rb5 Rb 0.405 0.248 0.631
Rb6 Rb 0.095 0.131 0.748
Rb7 Rb 0.595 0.752 0.369
Rb8 Rb 0.905 0.869 0.252
```

Output
Final energy in Ry per atom: -0.3876
ΔE_f (raw) in meV/atom: -1796
Total magnetization in μB/f.u.: 0.02


> The lowest total magnetization belongs to which entry?

Sm3CuPd